The following is a DFT calculation (PBE) of crystalline LaCd4Co at its relaxed geometry.

Values from the calculation:
The calculated formation energy comes out at 0.11 eV per atom. The value obtained for the spin magnetization is 0.0 μB/cell.

a = 8.121 Å, b = 8.121 Å, c = 8.121 Å
α = 90.00°, β = 90.00°, γ = 90.00°
Space group F-43m (No. 216)
Asymmetric unit:
La1 0.000 0.000 0.000 x4
Cd1 0.124 0.124 0.624 x16
Co1 0.250 0.250 0.250 x4